one | Compound: ErTm2Th6
Source: Alexandria via LeMat-Bulk
Functional: PBE-GGA
Structure: optimized geometry

## Properties
space-group type = R3m, No. 160
calculated volume = 36.094 A^3/atom

Cell and atoms, written as extended XYZ:
```
9
Lattice="-1.3701 3.1791 -6.0642 -0.7401 -3.7712 -5.8300 -8.2466 -0.8349 -2.5947" Properties=species:S:1:pos:R:3 pbc="T T T"
Th -2.8157 -0.3032 -1.4318
Th -6.4593 -2.5402 -7.9130
Th -6.7625 0.8050 -8.0253
Th -3.2044 -2.2841 -4.4934
Th -6.1030 -0.7255 -5.1068
Th -3.5353 1.3660 -4.6168
Er -0.7509 -0.2013 -3.9561
Tm -7.7619 -1.0697 -10.8677
Tm -3.3530 -0.5592 -7.5760
```

***

two | Compound: ErTm2Th6
Source: Alexandria via LeMat-Bulk
Functional: PBE-GGA
Structure: optimized geometry

## Properties
space-group type = C2/c, No. 15
calculated volume = 31.728 A^3/atom

Cell and atoms, written as extended XYZ:
```
18
Lattice="8.7052 -0.4210 2.9583 3.6550 7.6728 2.0920 1.0157 -1.7158 8.5224" Properties=species:S:1:pos:R:3 pbc="T T T"
Th 4.4894 2.3720 2.6733
Th 6.8532 -1.4822 8.6518
Th 6.8436 1.9594 8.2954
Th 8.1872 -0.1678 5.7478
Th 3.1440 4.4932 5.2250
Th 4.4912 5.8096 2.3225
Th 6.5323 3.5765 5.2773
Th 6.5227 7.0182 4.9209
Th 5.1886 5.7038 7.8248
Th 10.2318 1.0428 8.3477
Th 8.8847 -0.2736 11.2501
Th 8.8864 3.1640 10.8993
Tm 8.5248 4.9092 7.9954
Tm 4.8511 0.6268 5.5772
Tm 9.8681 2.7797 5.4376
Tm 3.5078 2.7563 8.1350
Er 9.8468 6.1580 5.1319
Er 3.5291 -0.6220 8.4407
```

***

Need the numbers? Relative energies in eV/atom: one 0.333; two 0.000.

***

one | Compound: Y2ErTh
Source: Alexandria via LeMat-Bulk
Functional: PBE-GGA
Structure: optimized geometry

## Properties
space-group type = P4/mmm, No. 123
calculated volume = 31.808 A^3/atom

Cell and atoms, written as extended XYZ:
```
4
Lattice="-3.2422 0.6748 3.8254 -3.8491 -0.4649 -3.1802 -0.0727 -4.9479 0.8112" Properties=species:S:1:pos:R:3 pbc="T T T"
Er -1.6211 0.3374 1.9127
Y -1.9246 -0.2324 -1.5901
Y -0.0363 -2.4740 0.4056
Th -3.5820 -2.3690 0.7282
```

***

two | Compound: Y2ErTh
Source: Alexandria via LeMat-Bulk
Functional: PBE-GGA
Structure: optimized geometry

## Properties
space-group type = R-3m, No. 166
calculated volume = 31.912 A^3/atom

Cell and atoms, written as extended XYZ:
```
4
Lattice="-1.7663 2.2769 2.1117 -3.5021 0.5247 -0.4730 -4.0389 -7.6651 7.9086" Properties=species:S:1:pos:R:3 pbc="T T T"
Y -6.9744 -3.6247 7.1409
Y -2.3329 -1.2387 2.4064
Er 0.0000 0.0000 0.0000
Th -4.6536 -2.4317 4.7737
```

***

Need the numbers? Relative energies in eV/atom: one 0.015; two 0.000.

***

one | Compound: Y2ErTh
Source: Alexandria via LeMat-Bulk
Functional: PBE-GGA
Structure: optimized geometry

## Properties
space-group type = P-3m1, No. 164
calculated volume = 31.842 A^3/atom

Cell and atoms, written as extended XYZ:
```
4
Lattice="-1.0994 2.9855 1.6646 -2.3633 -2.0473 -1.7629 -0.8011 -8.9946 7.8506" Properties=species:S:1:pos:R:3 pbc="T T T"
Er -2.3387 0.8814 0.5023
Th -2.1898 -5.1095 3.5951
Y -2.2394 -4.9136 7.0863
Y -3.2399 -2.3195 1.7689
```

***

two | Compound: Y2ErTh
Source: Alexandria via LeMat-Bulk
Functional: PBE-GGA
Structure: optimized geometry

## Properties
space-group type = R3m, No. 160
calculated volume = 31.933 A^3/atom

Cell and atoms, written as extended XYZ:
```
4
Lattice="3.5696 0.0000 0.0000 1.7848 3.0913 0.0000 1.7848 1.0304 11.5754" Properties=species:S:1:pos:R:3 pbc="T T T"
Y 1.7848 1.0304 8.7134
Y 1.7848 1.0304 2.8722
Th 3.5696 2.0609 5.7665
Er 3.5696 2.0609 0.0108
```

***

Need the numbers? Relative energies in eV/atom: one 0.000; two 0.041.

***

one | Compound: Y2ErTh
Source: Alexandria via LeMat-Bulk
Functional: PBE-GGA
Structure: optimized geometry

## Properties
space-group type = P4/mmm, No. 123
calculated volume = 32.152 A^3/atom

Cell and atoms, written as extended XYZ:
```
4
Lattice="4.1567 0.0000 0.0000 0.0000 4.1567 0.0000 0.0000 0.0000 7.4433" Properties=species:S:1:pos:R:3 pbc="T T T"
Er 2.0784 2.0784 0.0000
Y 0.0000 0.0000 5.5658
Y 0.0000 0.0000 1.8775
Th 2.0784 2.0784 3.7217
```

***

two | Compound: Y2ErTh
Source: Alexandria via LeMat-Bulk
Functional: PBE-GGA
Structure: optimized geometry

## Properties
space-group type = Fm-3m, No. 225
calculated volume = 32.268 A^3/atom

Cell and atoms, written as extended XYZ:
```
4
Lattice="5.6726 0.0000 0.0000 2.8363 4.9126 0.0000 2.8363 1.6375 4.6317" Properties=species:S:1:pos:R:3 pbc="T T T"
Y 2.8363 1.6375 1.1579
Y 8.5089 4.9126 3.4738
Th 5.6726 3.2751 2.3158
Er 0.0000 0.0000 0.0000
```

***

Need the numbers? Relative energies in eV/atom: one 0.000; two 0.019.

***

one | Compound: Y3Er6Th
Source: Alexandria via LeMat-Bulk
Functional: PBE-GGA
Structure: optimized geometry

## Properties
space-group type = R32, No. 155
calculated volume = 32.325 A^3/atom

Cell and atoms, written as extended XYZ:
```
10
Lattice="8.6374 0.0000 4.5836 3.1025 8.0610 4.5836 2.1714 1.4910 6.3382" Properties=species:S:1:pos:R:3 pbc="T T T"
Y 7.6976 5.2854 6.3547
Y 2.9944 2.0560 4.7874
Y 6.4321 4.4165 8.7394
Er 6.2854 2.3074 5.5670
Er 8.2910 1.7108 8.7353
Er 5.4370 7.7026 7.0826
Er 10.1921 5.0371 8.6348
Er 7.4766 7.1232 10.2753
Er 3.5339 4.4190 7.1977
Th 11.2168 7.7018 10.1531
```

***

two | Compound: Y3Er6Th
Source: Alexandria via LeMat-Bulk
Functional: PBE-GGA
Structure: optimized geometry

## Properties
space-group type = Cmc2_1, No. 36
calculated volume = 31.806 A^3/atom

Cell and atoms, written as extended XYZ:
```
20
Lattice="-6.8829 -1.0278 5.6275 -4.2999 -4.8250 -6.1404 5.2678 -4.4824 5.6243" Properties=species:S:1:pos:R:3 pbc="T T T"
Er -0.6673 -1.9361 3.5011
Er -6.3236 -8.5597 2.4900
Er -1.9141 -6.5147 -1.1312
Er 3.5042 -4.6872 6.0110
Er -8.6357 -5.7112 1.7107
Er -6.9484 -2.5517 2.8231
Er -0.0425 -7.9441 3.1679
Er -2.5398 -6.9278 5.1449
Er -2.8804 -3.6531 5.3265
Er -2.2547 -3.2401 -0.9496
Er 0.1667 -5.0053 5.4889
Er -8.4741 -5.5068 -1.6724
Y -6.0340 -3.3237 6.1914
Y -3.2692 -7.5175 1.6902
Y -5.5923 -5.5040 3.6808
Y -3.7544 -2.8514 1.9490
Y -5.5488 -7.9898 5.9326
Y -1.1454 -4.9541 2.1033
Th 2.1236 -4.6520 2.7861
Th -5.6014 -5.3193 0.3327
```

***

Need the numbers? Relative energies in eV/atom: one 0.173; two 0.000.

***

one | Compound: YEr4Th2
Source: Alexandria via LeMat-Bulk
Functional: PBE-GGA
Structure: optimized geometry

## Properties
space-group type = P-1, No. 2
calculated volume = 31.798 A^3/atom

Cell and atoms, written as extended XYZ:
```
7
Lattice="0.0314 -1.3889 3.1645 5.0906 -5.5677 -3.8951 3.4815 6.9089 4.3894" Properties=species:S:1:pos:R:3 pbc="T T T"
Y 0.0000 0.0000 0.0000
Er 3.3539 2.7159 5.5211
Er 2.8846 0.5125 2.7979
Er 5.2497 -2.7637 -1.8623
Er 5.7190 -0.5602 0.8609
Th 2.6059 -1.9607 0.2597
Th 5.9977 1.9129 3.3991
```

***

two | Compound: YEr4Th2
Source: Alexandria via LeMat-Bulk
Functional: PBE-GGA
Structure: optimized geometry

## Properties
space-group type = Cmcm, No. 63
calculated volume = 32.048 A^3/atom

Cell and atoms, written as extended XYZ:
```
14
Lattice="5.5884 0.0000 0.0000 -2.7942 4.8300 0.0000 0.0000 0.0000 16.6221" Properties=species:S:1:pos:R:3 pbc="T T T"
Er 0.0000 1.5977 4.1555
Er 0.0000 1.6201 14.1690
Er 2.7942 0.0000 0.0000
Er 0.0000 1.6201 10.7642
Er 2.7942 3.2099 5.8579
Er 2.7942 3.2099 2.4531
Er 2.7942 3.2323 12.4666
Er 2.7942 0.0000 8.3111
Th 2.7942 3.2254 15.6808
Th 0.0000 1.6047 0.9413
Th 0.0000 1.6047 7.3698
Th 2.7942 3.2254 9.2524
Y 0.0000 4.8186 4.1555
Y 2.7942 0.0114 12.4666
```

***

Need the numbers? Relative energies in eV/atom: one 0.000; two 0.066.